[1]
VASP calculation (PBE) on Tb3Pm4In4 after structural relaxation.

Cell and atoms, written as extended XYZ:
```
11
Lattice="3.6542 0.0000 0.0000 0.0000 9.4651 0.0000 -1.8271 -4.7326 9.6784" Properties=species:S:1:pos:R:3 pbc="T T T"
Tb 1.8271 4.7326 7.8528
In 1.8271 0.0000 4.3726
In 1.8271 7.3879 0.0000
Pm 0.0000 -1.6844 6.5350
In 0.0000 4.7326 5.3058
Pm 1.8271 3.0481 3.1434
Pm 0.0000 1.6844 6.5350
In 1.8271 2.0772 0.0000
Tb 0.0000 4.7326 0.0000
Pm 1.8271 6.4170 3.1434
Tb 0.0000 0.0000 1.8256
```



[2]
18
Lattice="-1.2547 -1.3026 -6.8753 7.8672 -4.6764 -0.5498 -3.3788 -6.3298 5.4914" Properties=species:S:1:pos:R:3 comment="Tb3Pm2In4 | the Alexandria database | PBE | relaxed" de_polymorph_ev_per_atom=0.1192 pbc="T T T"
Pm -0.4209 -8.0986 -2.0644
Pm -2.5412 -5.8140 1.5653
Tb 0.0000 0.0000 0.0000
Tb 3.3062 -2.9895 -3.7125
Pm 3.6545 -4.2102 0.1307
Tb 3.3298 -7.7657 -0.9742
In 0.7614 -2.6066 -5.1584
Tb 3.9572 -7.1144 2.4635
Pm 5.7749 -6.4947 -3.4990
In -2.8567 -5.2410 -2.1613
In 2.1326 -5.7395 -2.9773
In 1.8448 -10.3534 -0.2129
In 1.3888 -1.9553 -1.7208
Tb -0.0962 -4.5430 -0.9595
Tb -0.7235 -5.1943 -4.3972
In 6.0903 -7.0678 0.2276
In 1.1010 -6.5693 1.0437
In 2.4722 -9.7021 3.2248



[3]
4
Lattice="-3.1516 -3.4561 -2.9829 1.9836 -4.9547 -1.5136 -2.0121 -4.6198 2.3201" Properties=species:S:1:pos:R:3 comment="TbPm2In | the Alexandria database | PBE | relaxed" de_polymorph_ev_per_atom=0.1263 pbc="T T T"
Pm -2.3850 -9.7730 -1.6322
Tb 0.0000 0.0000 0.0000
In -1.5900 -6.5153 -1.0881
Pm -0.7950 -3.2577 -0.5441



[4]
VASP calculation (PBE) on TbPm6In5 after structural relaxation.

Cell and atoms, written as extended XYZ:
```
12
Lattice="4.8485 0.0204 -1.4149 -1.2430 7.9603 -4.1453 0.0611 -0.3460 9.2196" Properties=species:S:1:pos:R:3 pbc="T T T"
Pm 1.5137 5.8409 -3.7437
Pm -0.2821 7.1227 -0.8641
Pm 2.0918 2.1399 -1.8165
Pm 3.9487 0.5120 4.5235
In 0.6724 6.5101 2.3976
Pm 0.3111 3.3248 1.1136
Pm 3.3555 4.3099 2.5457
In 2.4501 5.2562 -0.5435
Tb 0.0000 0.0000 0.0000
In 1.2165 2.3786 4.2028
In -0.6215 3.9801 -2.0726
In 2.9942 1.1247 1.2618
```



[5]
VASP calculation (PBE) on Tb4Pm3In after structural relaxation.

Cell and atoms, written as extended XYZ:
```
16
Lattice="10.9713 -2.9105 0.0000 -3.9359 7.4857 0.0000 0.0000 0.0000 7.1279" Properties=species:S:1:pos:R:3 pbc="T T T"
Tb 7.7429 -1.1285 3.5640
Pm -2.2928 4.8871 1.7649
In 7.7868 -1.0142 0.0000
Pm 2.4307 0.3540 3.5640
Tb 6.1878 3.7079 3.5639
Tb -0.2173 2.2310 1.7978
Tb 3.0524 3.5121 5.2876
Tb 3.0524 3.5121 1.8404
In 0.6834 5.1513 3.5639
Pm 5.3779 0.6871 5.4112
Tb 2.2386 0.5447 0.0001
Pm -2.2928 4.8871 5.3631
Tb -0.2172 2.2310 5.3299
Tb 0.7332 5.3012 7.1278
Pm 6.0027 3.8729 7.1278
Pm 5.3780 0.6871 1.7166
```



[6]
VASP calculation (PBE) on Tb7PmIn2 after structural relaxation.

Cell and atoms, written as extended XYZ:
```
10
Lattice="5.5238 0.0000 0.0000 0.0000 8.9393 -0.1694 0.0000 -4.0956 7.9477" Properties=species:S:1:pos:R:3 pbc="T T T"
Tb 0.0000 5.9143 1.7143
Tb 2.7619 2.4218 3.8891
Tb 2.7619 5.5619 5.3815
Tb 2.7619 2.4678 0.4127
Tb 2.7619 -0.7182 2.3967
Pm 0.0000 0.0000 0.0000
Tb 2.7619 2.3759 7.3655
Tb 0.0000 -1.0706 6.0640
In 2.7619 4.9874 2.2915
In 2.7619 -0.1437 5.4868
```



[7]
9
Lattice="-0.8947 1.8760 -4.3827 -3.5106 -3.5817 -3.5006 -9.8550 3.7264 0.9227" Properties=species:S:1:pos:R:3 comment="TbPm6In2 | the Alexandria database | PBE | relaxed" de_polymorph_ev_per_atom=0.0000 pbc="T T T"
Pm -8.5321 -0.1517 -3.6914
Pm -5.7281 2.1723 -3.2691
In -11.4640 0.9553 -5.3032
Pm -8.7398 3.1661 -4.9131
Pm -3.6092 -0.3110 -4.7646
In -2.7963 1.0653 -1.6573
Pm -5.5205 -1.1455 -2.0475
Tb 0.0000 0.0000 0.0000
Pm -10.6511 2.3317 -2.1959



[8]
VASP calculation (PBE) on TbPmIn2 after structural relaxation.

Cell and atoms, written as extended XYZ:
```
4
Lattice="3.7614 0.0000 0.0000 1.8807 3.2575 0.0000 1.8807 1.0858 9.7640" Properties=species:S:1:pos:R:3 pbc="T T T"
Pm 3.7614 2.1717 4.8820
Tb 0.0000 0.0000 0.0000
In 1.8807 1.0858 2.3981
In 5.6422 3.2575 7.3659
```



[9]
11
Lattice="-1.0630 2.0222 -2.6812 3.5550 -6.1192 -6.0247 -11.0296 -3.4049 4.1188" Properties=species:S:1:pos:R:3 comment="Tb2Pm5In4 | the Alexandria database | PBE | relaxed" de_polymorph_ev_per_atom=0.4897 pbc="T T T"
Pm -7.8304 -1.5859 -0.4054
In 1.1668 -2.0084 -1.9774
In -4.8384 -2.6969 -0.1158
Tb -2.2725 -1.2667 -0.0544
In 2.3882 -4.1108 -4.0473
Pm -0.7072 -5.9160 -4.1816
In -3.6992 -4.8050 -4.4713
Pm -0.5315 1.0111 -1.3406
Pm -1.9987 -3.6930 -1.9929
Pm -6.5389 -3.8089 -2.5941
Tb -6.2650 -6.2352 -4.5327



[10]
VASP calculation (PBE) on Tb6PmIn5 after structural relaxation.

Cell and atoms, written as extended XYZ:
```
12
Lattice="-2.1610 2.2141 3.9532 -9.6142 -2.1904 2.3424 -2.4338 -6.7423 5.6313" Properties=species:S:1:pos:R:3 pbc="T T T"
In -3.9622 -3.1055 2.7589
Tb -10.8867 -5.8471 6.8805
Tb -3.1201 -0.0979 1.5363
Tb -7.3719 -3.7692 7.6411
In -9.9684 -2.8115 5.6838
Pm 0.0000 0.0000 0.0000
In -4.2406 -3.9071 6.2430
In -5.8876 0.0118 3.1478
In -8.0857 -5.8272 5.2147
Tb -6.8371 -2.9494 4.2857
Tb -3.3223 -0.8716 5.0463
Tb -8.6550 0.1215 4.7592
```



[11]
9
Lattice="-3.4077 -2.5909 -1.8160 5.6107 -6.1210 -1.7956 -4.0097 0.0219 7.4929" Properties=species:S:1:pos:R:3 comment="TbPm6In2 | the Alexandria database | PBE | relaxed" de_polymorph_ev_per_atom=0.1089 pbc="T T T"
In 2.4024 -4.0734 1.3034
Pm -4.0636 -1.2828 3.5020
Tb -1.7014 -1.2982 -0.9088
Pm -1.0449 -3.8051 1.4360
In -0.8035 -2.0234 4.3945
Pm 1.1731 -4.4768 4.1857
Pm 1.5995 -4.8992 -1.9652
Pm 1.4935 -1.6293 -0.4780
Pm 4.5434 -6.1120 0.1945



[12]
12
Lattice="-0.0463 -2.5810 5.3321 -2.0530 -9.1974 -1.1789 6.3238 -6.9009 0.0054" Properties=species:S:1:pos:R:3 comment="Tb4Pm7In | the Alexandria database | PBE | relaxed" de_polymorph_ev_per_atom=0.1541 pbc="T T T"
Pm 3.5192 -5.3102 0.7510
Pm 0.7164 -6.7873 3.3026
Pm 0.3030 -7.1883 -0.1859
Pm 3.5081 -11.8920 0.8559
Tb 3.3725 -8.4952 2.4990
Pm 0.7054 -13.3691 3.4075
Tb 0.4302 -3.9080 1.4030
In 0.0000 0.0000 0.0000
Tb 0.8521 -10.1841 1.6596
Pm 3.9216 -11.4910 4.3445
Tb 3.7944 -14.7713 2.7556
Pm -0.0231 -1.2905 2.6660



[13]
VASP calculation (PBE) on TbPmIn3 after structural relaxation.

Cell and atoms, written as extended XYZ:
```
10
Lattice="-3.6887 -2.5428 -3.7817 3.7870 0.9960 -4.3635 4.8098 -9.1708 6.0197" Properties=species:S:1:pos:R:3 pbc="T T T"
Tb -0.1919 -4.6532 -1.2287
Pm 0.0000 0.0000 0.0000
Tb 1.3622 -7.8339 -0.6059
In 6.4716 -6.3715 0.2235
In 2.1499 -2.1935 -0.6221
Pm 4.3230 -4.4741 -1.2082
In 4.0262 -1.7000 -2.7840
In 2.4683 -5.0516 0.9891
In 4.6441 -7.6314 -1.6502
In 2.4398 -5.6661 -3.1146
```



[14]
12
Lattice="5.4054 0.0000 0.0000 -2.7027 4.6812 0.0000 0.0000 0.0000 13.2696" Properties=species:S:1:pos:R:3 comment="TbPm2In3 | the Alexandria database | PBE | relaxed" de_polymorph_ev_per_atom=0.0040 pbc="T T T"
In 0.0000 3.1208 5.5425
In 2.7027 1.5604 7.7272
Pm 2.7027 1.5604 11.0325
Tb 0.0000 3.1208 8.8480
In 0.0000 0.0000 9.9253
Pm 0.0000 3.1208 2.2371
Tb 2.7027 1.5604 4.4216
In 0.0000 0.0000 3.3443
In 2.7027 1.5604 1.1214
Pm 0.0000 0.0000 6.6348
In 0.0000 3.1208 12.1482
Pm 0.0000 0.0000 0.0000



[15]
VASP calculation (PBE) on Tb7Pm3In2 after structural relaxation.

Cell and atoms, written as extended XYZ:
```
12
Lattice="3.6271 0.0000 0.0000 0.0000 5.6678 -0.2556 0.0000 -3.6719 18.7017" Properties=species:S:1:pos:R:3 pbc="T T T"
Tb 1.8136 5.0118 2.9484
Tb 0.0000 2.1497 2.6708
Tb 1.8136 2.3832 8.4084
In 1.8136 2.2474 5.3080
Tb 1.8136 -0.3873 10.0377
Tb 0.0000 -0.1538 15.7753
Pm 0.0000 2.5336 11.6807
Pm 1.8136 2.8339 -0.1278
In 1.8136 -0.2515 13.1381
Tb 0.0000 0.0000 0.0000
Pm 0.0000 -0.5377 6.7654
Tb 1.8136 -3.0159 15.4977
```



[16]
3
Lattice="3.5995 0.0000 0.0000 0.0000 3.5995 0.0000 -1.7998 -1.7998 6.9640" Properties=species:S:1:pos:R:3 comment="TbPmIn | the Alexandria database | PBE | relaxed" de_polymorph_ev_per_atom=0.0471 pbc="T T T"
Tb 0.0000 0.0000 3.7521
Pm 1.7998 1.7998 6.4218
In 1.7998 1.7998 1.6649



[17]
VASP calculation (PBE) on Tb5PmIn after structural relaxation.

Cell and atoms, written as extended XYZ:
```
7
Lattice="10.9411 0.0000 0.0000 0.0000 6.5187 0.0000 -5.4705 -3.2594 3.1495" Properties=species:S:1:pos:R:3 pbc="T T T"
Tb 3.9025 1.5110 0.0000
In 9.0669 3.2594 0.0000
Tb 6.3107 3.2594 1.6210
Pm 7.9878 0.0000 0.0000
Tb 0.8402 0.0000 1.5285
Tb 1.1486 3.2594 0.0000
Tb 3.9025 5.0078 0.0000
```



[18]
7
Lattice="3.6352 0.0000 0.0000 1.8176 3.1482 0.0000 1.8176 1.0494 19.6090" Properties=species:S:1:pos:R:3 comment="Tb4Pm2In | the Alexandria database | PBE | relaxed" de_polymorph_ev_per_atom=0.0000 pbc="T T T"
In 0.0000 0.0000 0.0000
Tb 5.4529 3.1482 17.1064
Tb 1.8176 1.0494 2.5025
Tb 5.4529 3.1482 5.3802
Pm 5.4529 3.1482 11.3149
Tb 1.8176 1.0494 14.2287
Pm 1.8176 1.0494 8.2940



[19]
6
Lattice="-0.7697 2.7392 -2.2011 -3.2379 0.3227 1.5338 5.4488 9.2162 9.5636" Properties=species:S:1:pos:R:3 comment="Tb4PmIn | the Alexandria database | PBE | relaxed" de_polymorph_ev_per_atom=0.0000 pbc="T T T"
Tb 1.9276 3.2604 3.3833
Tb 2.4742 9.1052 7.5261
Pm 0.0000 0.0000 0.0000
Tb -1.0331 3.1728 1.3701
In 0.7206 6.1390 4.4481
Tb 3.5212 5.9558 6.1803



[20]
6
Lattice="3.8125 0.0000 0.0000 0.0000 3.8125 0.0000 0.0000 0.0000 11.5401" Properties=species:S:1:pos:R:3 comment="TbPm2In3 | the Alexandria database | PBE | relaxed" de_polymorph_ev_per_atom=0.0000 pbc="T T T"
In 0.0000 0.0000 0.0000
Tb 1.9063 1.9063 5.7701
Pm 1.9063 1.9063 9.5792
In 0.0000 0.0000 7.6123
Pm 1.9063 1.9063 1.9610
In 0.0000 0.0000 3.9278



[21]
16
Lattice="-4.4774 -1.1464 1.7284 -2.0169 -1.8356 -6.4423 4.2796 -13.1052 2.3942" Properties=species:S:1:pos:R:3 comment="TbPm5In2 | the Alexandria database | PBE | relaxed" de_polymorph_ev_per_atom=0.0000 pbc="T T T"
Pm 2.2120 -10.7586 -1.4055
Pm 0.0507 -4.1822 -2.6425
In -0.0665 -9.1986 0.7706
Tb 2.1398 -6.5526 1.1971
Pm 1.0701 -3.2978 0.5847
Tb -1.0085 -0.9178 -3.2212
Pm 1.1313 -7.4704 -2.0240
Pm -1.1381 -5.9562 0.1450
In -2.2211 -2.6595 -0.4740
In -2.1483 -6.8886 -3.0903
Pm -3.2213 -3.5829 -3.6774
Pm -1.0766 -10.1310 -2.4646
Pm 1.1926 -11.6430 -4.6328
In 0.0064 -13.4277 -1.8456
Pm 1.0066 -12.5043 1.3578
Pm 0.0000 0.0000 0.0000



[22]
VASP calculation (PBE) on Tb7PmIn4 after structural relaxation.

Cell and atoms, written as extended XYZ:
```
12
Lattice="5.6840 0.0000 0.0000 2.8420 8.8722 0.4994 2.8420 0.7341 7.2280" Properties=species:S:1:pos:R:3 pbc="T T T"
Tb 2.8420 1.4267 3.3668
In 2.8420 2.9779 0.3847
In 5.6840 2.6124 4.7287
Tb 2.8420 5.5637 2.2423
Tb 5.6840 6.3973 5.9525
In 5.6840 6.9939 2.9987
Tb 5.6840 3.2090 1.7749
Tb 8.5260 4.0425 5.4851
Tb 8.5260 8.1795 4.3606
Tb 2.8420 0.0000 0.0000
Pm 0.0000 0.0000 0.0000
In 8.5260 6.6284 7.3427
```



no.,uncorrected energy (eV per atom),energy of formation (eV per formula unit),Fermi-level density of states (states/eV/atom)
1,-4.30,-3.44,0.946
2,-4.11,-2.64,0.830
3,-4.36,-0.58,1.646
4,-4.30,-4.77,0.988
5,-4.55,-0.87,1.403
6,-3.92,3.43,2.025
7,-4.51,-1.94,1.192
8,-4.04,-1.29,0.483
9,-3.79,2.23,1.334
10,-4.24,-4.65,0.998
11,-4.40,-0.96,1.272
12,-4.36,2.24,1.471
13,-3.41,0.56,0.901
14,-4.21,-2.92,0.604
15,-4.40,-0.64,1.230
16,-4.34,-0.90,0.979
17,-4.29,0.60,1.330
18,-4.46,-0.48,1.598
19,-4.48,-0.89,1.225
20,-4.22,-2.94,0.592
21,-4.51,-2.20,1.523
22,-4.12,-1.35,1.096